# AgPd2F

A relaxed structure of AgPd2F (PBE, Alexandria via LeMat-Bulk).

Calculated values
Formation energy (no corrections): 0.01 eV per atom
Energy above the lowest structure with this stoichiometry: 0 kJ/mol of formula units
Total DFT energy (no corrections): -3.7660 eV/atom

Lattice parameters (Å, degrees): 5.578 5.578 5.578 103.36 103.36 122.53
Atoms (fractional coordinates):
Ag 0.000 0.000 0.000
Ag 0.750 0.250 0.500
Pd 0.175 0.625 0.050
Pd 0.375 0.425 0.550
Pd 0.575 0.125 0.950
Pd 0.875 0.825 0.450
F 0.250 0.750 0.500
F 0.500 0.500 0.000